Pa2InRh: optimized geometry, PBE-GGA.

The structure in extended XYZ format:
```
4
Lattice="3.212 0.000 0.000 0.000 3.212 0.000 0.000 0.000 8.739" Properties=species:S:1:pos:R:3 pbc="T T T"
Pa 0.000 0.000 1.897
Pa 0.000 0.000 6.843
In 1.606 1.606 4.370
Rh 1.606 1.606 0.000
```

Properties
total moment	0.01	μB/f.u.
formation energy from the elements	-8.14	kcal/mol of atoms
crystal system	tetragonal

Pa2InRh: optimized geometry, PBE-GGA.

The structure in extended XYZ format:
```
4
Lattice="4.363 0.000 0.000 0.000 4.363 0.000 0.000 0.000 4.555" Properties=species:S:1:pos:R:3 pbc="T T T"
Pa 0.000 2.182 0.000
Pa 2.182 0.000 0.000
In 0.000 0.000 2.278
Rh 2.182 2.182 2.278
```

Properties
total moment	0.00	μB/f.u.
formation energy from the elements	-5.87	kcal/mol of atoms
crystal system	tetragonal

PaInRh4: optimized geometry, PBE-GGA.

The structure in extended XYZ format:
```
6
Lattice="4.442 0.000 0.000 0.000 4.442 0.000 0.000 0.000 5.983" Properties=species:S:1:pos:R:3 pbc="T T T"
Pa 0.000 0.000 0.000
In 2.221 2.221 2.991
Rh 0.000 2.221 1.450
Rh 0.000 2.221 4.532
Rh 2.221 0.000 1.450
Rh 2.221 0.000 4.532
```

Properties
total moment	0.00	μB/f.u.
formation energy from the elements	-7.42	kcal/mol of atoms
crystal system	tetragonal

Electronic total energy, record by record: -7.624; -7.525; -7.262 eV per atom
Energy above the lowest structure with this stoichiometry, record by record: 0.0; 98.7; 197.0 meV/atom